No. 1
Entry from Alexandria via LeMat-Bulk: crystalline BeIrCl at its relaxed geometry (PBE).

a b c (Å): 2.8668 4.3131 10.0751
angles (deg): 84.95 82.21 89.99
Fractional coordinates of all 6 atoms:
1 Be 0.0000 0.0000 0.0000
2 Be 0.1761 0.3008 0.6323
3 Ir 0.0788 0.4794 0.8425
4 Ir 0.5985 0.9836 0.8012
5 Cl 0.4334 0.9512 0.1397
6 Cl 0.7412 0.3774 0.4954

Summary:
Uncorrected energy, eV per atom: -5.25
Formation energy from raw total energies, meV per atom: -439

No. 2
Entry from Alexandria via LeMat-Bulk: crystalline BeIrCl at its relaxed geometry (PBE).

a b c (Å): 2.9144 4.6440 8.9148
angles (deg): 75.24 88.63 71.73
Fractional coordinates of all 6 atoms:
1 Be 0.0518 0.4141 0.3777
2 Be 0.9482 0.5859 0.6223
3 Ir 0.3254 0.8603 0.4187
4 Ir 0.6746 0.1397 0.5813
5 Cl 0.4528 0.6369 0.1990
6 Cl 0.5472 0.3631 0.8010

Summary:
Uncorrected energy, eV per atom: -5.14
Formation energy from raw total energies, meV per atom: -326

No. 3
Entry from Alexandria via LeMat-Bulk: crystalline Be3IrCl at its relaxed geometry (PBE).

a b c (Å): 4.3416 4.3416 4.3416
angles (deg): 90.00 90.00 90.00
Fractional coordinates of all 5 atoms:
1 Be 0.0000 0.0000 0.5000
2 Be 0.0000 0.5000 0.0000
3 Be 0.5000 0.0000 0.0000
4 Ir 0.0000 0.0000 0.0000
5 Cl 0.5000 0.5000 0.5000

Summary:
Uncorrected energy, eV per atom: -3.91
Formation energy from raw total energies, meV per atom: 468

No. 4
Entry from Alexandria via LeMat-Bulk: crystalline BeIrCl2 at its relaxed geometry (PBE).

a b c (Å): 11.9802 11.9802 11.9802
angles (deg): 14.14 14.14 14.14
Fractional coordinates of all 4 atoms:
1 Be 0.0000 0.0000 0.0000
2 Ir 0.5000 0.5000 0.5000
3 Cl 0.2964 0.2964 0.2964
4 Cl 0.7036 0.7036 0.7036

Summary:
Uncorrected energy, eV per atom: -4.05
Formation energy from raw total energies, meV per atom: 18

No. 5
Entry from Alexandria via LeMat-Bulk: crystalline BeIrCl2 at its relaxed geometry (PBE).

a b c (Å): 2.9341 3.9507 5.4977
angles (deg): 90.00 90.00 90.00
Fractional coordinates of all 4 atoms:
1 Be 0.0000 0.0000 0.0000
2 Ir 0.5000 0.0000 0.5000
3 Cl 0.0000 0.5000 0.5000
4 Cl 0.5000 0.5000 0.0000

Summary:
Uncorrected energy, eV per atom: -3.48
Formation energy from raw total energies, meV per atom: 593

No. 6
Entry from Alexandria via LeMat-Bulk: crystalline BeIr2Cl at its relaxed geometry (PBE).

a b c (Å): 2.7387 3.4941 7.7820
angles (deg): 90.00 100.03 90.00
Fractional coordinates of all 4 atoms:
1 Be 0.0000 0.0000 0.0000
2 Ir 0.4455 0.5000 0.8893
3 Ir 0.8445 0.0000 0.6854
4 Cl 0.7413 0.5000 0.4769

Summary:
Uncorrected energy, eV per atom: -5.67
Formation energy from raw total energies, meV per atom: 155

No. 7
Entry from Alexandria via LeMat-Bulk: crystalline BeIr2Cl at its relaxed geometry (PBE).

a b c (Å): 6.7804 6.7804 6.7804
angles (deg): 156.09 150.25 38.52
Fractional coordinates of all 4 atoms:
1 Be 0.0000 0.0000 0.0000
2 Ir 0.4341 0.4341 0.0000
3 Ir 0.6071 0.1071 0.5000
4 Cl 0.2738 0.7738 0.5000

Summary:
Uncorrected energy, eV per atom: -5.55
Formation energy from raw total energies, meV per atom: 270

No. 8
Entry from Alexandria via LeMat-Bulk: crystalline BeIrCl at its relaxed geometry (PBE).

a b c (Å): 2.8561 4.3906 10.1989
angles (deg): 78.91 88.88 89.46
Fractional coordinates of all 6 atoms:
1 Be 0.2387 0.0807 0.3133
2 Be 0.7613 0.9193 0.6867
3 Ir 0.2481 0.2486 0.5138
4 Ir 0.7519 0.7514 0.4862
5 Cl 0.2538 0.8316 0.8247
6 Cl 0.7462 0.1684 0.1753

Summary:
Uncorrected energy, eV per atom: -5.25
Formation energy from raw total energies, meV per atom: -443

No. 9
Entry from Alexandria via LeMat-Bulk: crystalline BeIrCl2 at its relaxed geometry (PBE).

a b c (Å): 6.2335 6.2335 6.2335
angles (deg): 148.31 148.31 45.43
Fractional coordinates of all 4 atoms:
1 Be 0.0000 0.0000 0.0000
2 Ir 0.7500 0.2500 0.5000
3 Cl 0.2500 0.7500 0.5000
4 Cl 0.5000 0.5000 0.0000

Summary:
Uncorrected energy, eV per atom: -3.32
Formation energy from raw total energies, meV per atom: 751

No. 10
Entry from Alexandria via LeMat-Bulk: crystalline BeIrCl at its relaxed geometry (PBE).

a b c (Å): 2.9458 4.5627 8.6872
angles (deg): 98.81 90.29 90.02
Fractional coordinates of all 6 atoms:
1 Be 0.0000 0.0000 0.0000
2 Be 0.0000 0.4954 0.9879
3 Ir 0.4974 0.1722 0.8373
4 Ir 0.9946 0.6844 0.7668
5 Cl 0.0015 0.7882 0.1843
6 Cl 0.4894 0.3928 0.5689

Summary:
Uncorrected energy, eV per atom: -5.09
Formation energy from raw total energies, meV per atom: -277

No. 11
Entry from Alexandria via LeMat-Bulk: crystalline BeIr2Cl at its relaxed geometry (PBE).

a b c (Å): 2.8322 2.8322 7.0104
angles (deg): 90.00 90.00 90.00
Fractional coordinates of all 4 atoms:
1 Be 0.0000 0.0000 0.0000
2 Ir 0.5000 0.5000 0.1874
3 Ir 0.5000 0.5000 0.8126
4 Cl 0.0000 0.0000 0.5000

Summary:
Uncorrected energy, eV per atom: -5.52
Formation energy from raw total energies, meV per atom: 303

No. 12
Entry from Alexandria via LeMat-Bulk: crystalline BeIr2Cl at its relaxed geometry (PBE).

a b c (Å): 4.9526 4.9526 2.8865
angles (deg): 106.62 106.62 112.44
Fractional coordinates of all 4 atoms:
1 Be 0.0000 0.0000 0.0000
2 Ir 0.0000 0.5000 0.0000
3 Ir 0.5000 0.0000 0.0000
4 Cl 0.5000 0.5000 0.0000

Summary:
Uncorrected energy, eV per atom: -5.30
Formation energy from raw total energies, meV per atom: 526

Number 1: E above lowest polymorph 4 meV/atom. Number 2: E above lowest polymorph 117 meV/atom. Number 3: E above lowest polymorph 0 meV/atom. Number 4: E above lowest polymorph 196 meV/atom. Number 5: E above lowest polymorph 771 meV/atom. Number 6: E above lowest polymorph 0 meV/atom. Number 7: E above lowest polymorph 115 meV/atom. Number 8: E above lowest polymorph 0 meV/atom. Number 9: E above lowest polymorph 929 meV/atom. Number 10: E above lowest polymorph 166 meV/atom. Number 11: E above lowest polymorph 148 meV/atom. Number 12: E above lowest polymorph 371 meV/atom.